No. 1
BeTeI2F (GGA-PBE, optimized geometry); formation energy (no corrections) = 435 meV per atom; calculated total energy = -9.7 eV/cell; Fermi-level density of states = 0.890 states/eV/atom; energy above the most stable polymorph in this dataset = 1.714 eV per formula unit
1.0
5.8808 0.0000 0.0000
0.0000 5.8808 0.0000
0.0000 0.0000 4.2309
Be Te I F
1 1 2 1
Direct
0.0000 0.0000 0.0000
0.5000 0.5000 0.0000
0.0000 0.5000 0.5000
0.5000 0.0000 0.5000
0.5000 0.5000 0.5000

No. 2
BeTe2IF (GGA-PBE, optimized geometry); formation energy (no corrections) = 425 meV per atom; calculated total energy = -11.3 eV/cell; Fermi-level density of states = 0.764 states/eV/atom; energy above the most stable polymorph in this dataset = 1.563 eV per formula unit
1.0
4.5698 0.0000 0.0000
0.0000 4.5698 0.0000
0.0000 0.0000 7.3388
Be Te I F
1 2 1 1
Direct
0.0000 0.0000 0.0000
0.0000 0.5000 0.5000
0.5000 0.0000 0.5000
0.5000 0.5000 0.0000
0.5000 0.5000 0.5000

No. 3
BeTe2IF (GGA-PBE, optimized geometry); formation energy (no corrections) = 112 meV per atom; calculated total energy = -12.9 eV/cell; Fermi-level density of states = 0.909 states/eV/atom; energy above the most stable polymorph in this dataset = 0.000 eV per formula unit
1.0
4.9184 0.0000 0.0000
0.0000 4.9184 0.0000
0.0000 0.0000 5.1305
Be Te I F
1 2 1 1
Direct
0.0000 0.0000 0.0000
0.0000 0.5000 0.0000
0.5000 0.0000 0.0000
0.0000 0.0000 0.5000
0.5000 0.5000 0.5000

What did the first record say?
BeTeI2F (GGA-PBE, optimized geometry); formation energy (no corrections) = 435 meV per atom; calculated total energy = -9.7 eV/cell; Fermi-level density of states = 0.890 states/eV/atom; energy above the most stable polymorph in this dataset = 1.714 eV per formula unit
1.0
5.8808 0.0000 0.0000
0.0000 5.8808 0.0000
0.0000 0.0000 4.2309
Be Te I F
1 1 2 1
Direct
0.0000 0.0000 0.0000
0.5000 0.5000 0.0000
0.0000 0.5000 0.5000
0.5000 0.0000 0.5000
0.5000 0.5000 0.5000